# 1
The following is a PBE-GGA calculation of a relaxed structure of Ce7Mn2Ga2, from Alexandria.

a b c (Å): 6.5113 6.6196 6.5113
angles (deg): 94.80 110.04 85.20
With the nearest neighbours (Å) after each atom.
Positions (direct):
Ga1 0.1725 0.5000 0.1725  1 Ga 2.58
Ce1 0.5218 0.2625 0.9934  1 Mn 2.25
Ce2 0.5305 0.7841 0.4695  3 Ce 2.87-2.91, 2 Mn 3.06-3.13, 2 Ga 3.12
Ce3 0.0066 0.2625 0.4782  1 Mn 2.25
Ga2 0.8275 0.5000 0.8275  1 Ga 2.58
Mn1 0.2501 0.9354 0.7499  2 Ce 2.25
Ce4 0.4695 0.2159 0.5305  3 Ce 2.87-2.91, 2 Mn 3.06-3.13, 2 Ga 3.12
Ce5 0.0000 0.0000 0.0000  2 Mn 2.66
Ce6 0.9934 0.7375 0.5218  1 Mn 2.25
Mn2 0.7499 0.0646 0.2501  2 Ce 2.25
Ce7 0.4782 0.7375 0.0066  1 Mn 2.25

Values from the calculation:
ΔH_f (0 K) = -59.1 meV/atom
density of states at the Fermi level = 19.4 states/eV per cell



# 2
The following is a PBE-GGA calculation of a relaxed structure of ScTaCrCoAs, from Alexandria.

a b c (Å): 3.3268 5.0326 5.1576
angles (deg): 92.07 90.00 109.30
With the nearest neighbours (Å) after each atom.
Positions (direct):
Co1 0.8553 0.4637 0.5623  2 Cr 2.28, 2 As 2.46
Ta1 0.1474 0.0478 0.3621  3 Cr 2.61-2.78, 2 Co 2.75, 1 As 2.83
Sc1 0.5612 0.8755 0.8355  3 As 2.66-2.69, 2 Cr 2.74-2.94, 2 Co 2.89
Cr1 0.4371 0.6267 0.3051  2 Co 2.28
As1 0.2832 0.3193 0.8830  2 Co 2.46, 1 Cr 2.57, 3 Sc 2.66-2.69

Values from the calculation:
energy relative to the lowest polymorph listed for this composition = 237 meV/atom
ΔH_f (0 K) = -111.8 meV/atom
density of states at the Fermi level = 4.0 states/eV per cell



# 3
The following is a PBE-GGA calculation of a relaxed structure of Sm4Ho15Sc, from Alexandria.

a b c (Å): 5.0036 5.0036 24.9398
angles (deg): 90.00 90.00 90.00
With the nearest neighbours (Å) after each atom.
Positions (direct):
Ho1 0.0000 0.5000 0.2978  4 Sm 3.54-3.55, 8 Ho 3.54-3.55
Sm1 0.0000 0.0000 0.8024  12 Ho 3.54-3.56
Ho2 0.5000 0.0000 0.7022  4 Sm 3.54-3.55, 8 Ho 3.54-3.55
Ho3 0.0000 0.5000 0.9041  8 Ho 3.46-3.55, 2 Sc 3.46, 2 Sm 3.56
Ho4 0.5000 0.0000 0.9041  8 Ho 3.46-3.55, 2 Sc 3.46, 2 Sm 3.56
Ho5 0.5000 0.0000 0.0959  8 Ho 3.46-3.55, 2 Sc 3.46, 2 Sm 3.56
Ho6 0.5000 0.5000 0.3991  4 Sm 3.54, 8 Ho 3.55
Ho7 0.5000 0.0000 0.5000  8 Ho 3.54-3.55, 4 Sm 3.55
Ho8 0.5000 0.0000 0.2978  4 Sm 3.54-3.55, 8 Ho 3.54-3.55
Ho9 0.5000 0.5000 0.1969  4 Sm 3.54, 8 Ho 3.55
Sm2 0.0000 0.0000 0.6011  12 Ho 3.54-3.55
Ho10 0.0000 0.5000 0.5000  8 Ho 3.54-3.55, 4 Sm 3.55
Ho11 0.5000 0.5000 0.8031  4 Sm 3.54, 8 Ho 3.55
Ho12 0.0000 0.5000 0.0959  8 Ho 3.46-3.55, 2 Sc 3.46, 2 Sm 3.56
Ho13 0.5000 0.5000 0.0000  8 Ho 3.46, 4 Sc 3.54
Sc1 0.0000 0.0000 0.0000  12 Ho 3.46-3.54
Ho14 0.0000 0.5000 0.7022  4 Sm 3.54-3.55, 8 Ho 3.54-3.55
Sm3 0.0000 0.0000 0.1976  12 Ho 3.54-3.56
Ho15 0.5000 0.5000 0.6009  4 Sm 3.54, 8 Ho 3.55
Sm4 0.0000 0.0000 0.3989  12 Ho 3.54-3.55

Values from the calculation:
ΔH_f (0 K) = 24.8 meV/atom
density of states at the Fermi level = 27.0 states/eV per cell



# 4
The following is a PBE-GGA calculation of a relaxed structure of YAlZn, from Alexandria.

a b c (Å): 6.1723 6.1719 3.2642
angles (deg): 74.67 74.66 30.67
With the nearest neighbours (Å) after each atom.
Positions (direct):
Y1 0.3302 0.3302 0.6698  4 Zn 3.10, 4 Al 3.17, 4 Y 3.26
Al1 0.0203 0.0203 0.9797  4 Zn 2.74
Zn1 0.6495 0.6495 0.3505  4 Al 2.74

Values from the calculation:
ΔH_f (0 K) = -259.1 meV/atom
density of states at the Fermi level = 1.3 states/eV per cell



# 5
The following is a PBE-GGA calculation of a relaxed structure of ScBeW, from Alexandria.

a b c (Å): 6.2520 6.2520 6.2520
angles (deg): 154.28 154.28 36.69
With the nearest neighbours (Å) after each atom.
Positions (direct):
Sc1 0.3451 0.3451 0.0000  4 Be 2.76, 4 Sc 2.78, 4 W 3.07
Be1 0.0085 0.0085 0.0000  4 W 2.56, 4 Sc 2.76, 4 Be 2.78
W1 0.6465 0.6465 0.0000  4 Be 2.56, 4 W 2.78

Values from the calculation:
energy relative to the lowest polymorph listed for this composition = 164 meV/atom
ΔH_f (0 K) = 186.2 meV/atom
density of states at the Fermi level = 2.4 states/eV per cell



# 6
The following is a PBE-GGA calculation of a relaxed structure of Pt2Rh4W, from Alexandria.

a b c (Å): 5.4845 5.3961 5.3962
angles (deg): 88.16 59.46 59.46
With the nearest neighbours (Å) after each atom.
Positions (direct):
Rh1 0.9999 0.0000 0.5002  2 W 2.70, 4 Pt 2.70, 4 Rh 2.74
Pt1 0.5000 0.5000 0.5000  8 Rh 2.70, 2 W 2.74, 2 Pt 2.74
Rh2 0.4999 0.5002 0.0000  2 W 2.70, 4 Pt 2.70, 4 Rh 2.74
Pt2 0.0000 0.5000 0.5000  8 Rh 2.70, 2 Pt 2.74
W1 0.0000 0.0000 0.0000  8 Rh 2.70, 2 Pt 2.74
Rh3 0.5001 0.0000 0.4998  2 W 2.70, 4 Pt 2.70, 4 Rh 2.74
Rh4 0.0001 0.4998 0.0000  2 W 2.70, 4 Pt 2.70, 4 Rh 2.74

Values from the calculation:
energy relative to the lowest polymorph listed for this composition = 176 meV/atom
ΔH_f (0 K) = 125.6 meV/atom
density of states at the Fermi level = 6.5 states/eV per cell



Let's list total magnetization in order: 0.657 1.097 0.000 0.265 0.000 0.000 μB per formula unit.